(1)
## TlZnOs (PBE-GGA)

Data for a relaxed TlZnOs crystal.

Values from the calculation:
ΔE to the lowest computed polymorph   125 meV/atom

Unit cell a=3.175 b=4.913 c=14.212 alpha=90.00 beta=90.00 gamma=90.00
Sites, in units of the cell vectors:
Tl: 0.000 0.000 0.000
Tl: 0.000 0.500 0.500
Tl: 0.500 0.000 0.500
Tl: 0.500 0.500 0.000
Zn: 0.000 0.000 0.688
Zn: 0.000 0.500 0.188
Zn: 0.500 0.000 0.188
Zn: 0.500 0.500 0.688
Os: 0.000 0.000 0.327
Os: 0.000 0.500 0.827
Os: 0.500 0.000 0.827
Os: 0.500 0.500 0.327

(2)
## Tb6Y12Cd (PBE-GGA)

Data for a relaxed Tb6Y12Cd crystal.

Values from the calculation:
ΔE to the lowest computed polymorph   31 meV/atom

Unit cell a=8.620 b=8.620 c=8.620 alpha=97.19 beta=97.19 gamma=97.19
Sites, in units of the cell vectors:
Tb: 0.092 0.364 0.364
Tb: 0.364 0.092 0.364
Tb: 0.364 0.364 0.092
Tb: 0.636 0.636 0.908
Tb: 0.636 0.908 0.636
Tb: 0.908 0.636 0.636
Y: 0.084 0.084 0.669
Y: 0.084 0.669 0.084
Y: 0.240 0.500 0.760
Y: 0.240 0.760 0.500
Y: 0.331 0.916 0.916
Y: 0.500 0.240 0.760
Y: 0.500 0.760 0.240
Y: 0.669 0.084 0.084
Y: 0.760 0.240 0.500
Y: 0.760 0.500 0.240
Y: 0.916 0.331 0.916
Y: 0.916 0.916 0.331
Cd: 0.500 0.500 0.500

(3)
## Sc2Tl2Ge (PBE-GGA)

Data for a relaxed Sc2Tl2Ge crystal.

Values from the calculation:
ΔE to the lowest computed polymorph   214 meV/atom

Unit cell a=8.263 b=8.263 c=3.535 alpha=90.00 beta=90.00 gamma=90.00
Sites, in units of the cell vectors:
Sc: 0.173 0.327 0.000
Sc: 0.327 0.827 0.000
Sc: 0.673 0.173 0.000
Sc: 0.827 0.673 0.000
Tl: 0.130 0.630 0.500
Tl: 0.370 0.130 0.500
Tl: 0.630 0.870 0.500
Tl: 0.870 0.370 0.500
Ge: 0.000 0.000 0.500
Ge: 0.500 0.500 0.500

(4)
## BaLa2Ir (PBE-GGA)

Data for a relaxed BaLa2Ir crystal.

Values from the calculation:
ΔE to the lowest computed polymorph   163 meV/atom

Unit cell a=4.039 b=4.343 c=17.458 alpha=90.00 beta=90.00 gamma=90.00
Sites, in units of the cell vectors:
Ba: 0.000 0.000 0.000
Ba: 0.000 0.500 0.500
La: 0.000 0.000 0.317
La: 0.000 0.500 0.817
La: 0.500 0.000 0.675
La: 0.500 0.500 0.175
Ir: 0.500 0.000 0.827
Ir: 0.500 0.500 0.327

(5)
## CaTbNi2H8 (PBE-GGA)

Data for a relaxed CaTbNi2H8 crystal.

Values from the calculation:
Total DFT energy (no corrections)   -4.00 eV per atom

Unit cell a=6.601 b=6.601 c=6.601 alpha=40.36 beta=40.36 gamma=40.36
Sites, in units of the cell vectors:
Ca: 0.000 0.000 0.000
Tb: 0.500 0.500 0.500
Ni: 0.229 0.229 0.229
Ni: 0.771 0.771 0.771
H: 0.079 0.553 0.553
H: 0.143 0.143 0.143
H: 0.447 0.447 0.921
H: 0.447 0.921 0.447
H: 0.553 0.079 0.553
H: 0.553 0.553 0.079
H: 0.857 0.857 0.857
H: 0.921 0.447 0.447

(6)
## NpHgIrO6 (PBE-GGA)

Data for a relaxed NpHgIrO6 crystal.

Values from the calculation:
Uncorrected formation energy   -1.42 eV per atom

Unit cell a=7.555 b=7.555 c=7.555 alpha=122.96 beta=117.47 gamma=89.69
Sites, in units of the cell vectors:
Np: 0.000 0.000 0.000
Np: 0.500 0.000 0.500
Hg: 0.314 0.564 0.750
Hg: 0.686 0.436 0.250
Ir: 0.000 0.000 0.500
Ir: 0.000 0.500 0.000
O: 0.052 0.318 0.121
O: 0.052 0.931 0.734
O: 0.060 0.310 0.750
O: 0.303 0.069 0.621
O: 0.303 0.682 0.234
O: 0.318 0.068 0.250
O: 0.682 0.932 0.750
O: 0.697 0.318 0.766
O: 0.697 0.931 0.379
O: 0.940 0.690 0.250
O: 0.948 0.069 0.266
O: 0.948 0.682 0.879

(7)
## LiYCu2 (PBE-GGA)

Data for a relaxed LiYCu2 crystal.

Values from the calculation:
Total DFT energy (no corrections)   -4.16 eV per atom

Unit cell a=6.469 b=6.469 c=6.469 alpha=90.00 beta=90.00 gamma=90.00
Sites, in units of the cell vectors:
Li: 0.000 0.000 0.000
Li: 0.000 0.500 0.500
Li: 0.500 0.000 0.500
Li: 0.500 0.500 0.000
Y: 0.250 0.250 0.250
Y: 0.250 0.750 0.750
Y: 0.750 0.250 0.750
Y: 0.750 0.750 0.250
Cu: 0.000 0.000 0.500
Cu: 0.000 0.500 0.000
Cu: 0.250 0.250 0.750
Cu: 0.250 0.750 0.250
Cu: 0.500 0.000 0.000
Cu: 0.500 0.500 0.500
Cu: 0.750 0.250 0.250
Cu: 0.750 0.750 0.750

(8)
## BeZnTePO (PBE-GGA)

Data for a relaxed BeZnTePO crystal.

Values from the calculation:
ΔE to the lowest computed polymorph   0 meV/atom
Uncorrected formation energy   -0.76 eV per atom

Unit cell a=2.880 b=6.190 c=6.332 alpha=96.25 beta=101.02 gamma=90.12
Sites, in units of the cell vectors:
Be: 0.000 0.000 0.000
Zn: 0.535 0.420 0.060
Te: 0.770 0.667 0.452
P: 0.952 0.653 0.880
O: 0.509 0.102 0.020

(9)
## Cu2Te (PBE-GGA)

Data for a relaxed Cu2Te crystal.

Values from the calculation:
Uncorrected formation energy   0.09 eV per atom

Unit cell a=3.555 b=5.313 c=10.851 alpha=90.00 beta=90.00 gamma=90.00
Sites, in units of the cell vectors:
Cu: 0.000 0.000 0.121
Cu: 0.000 0.000 0.879
Cu: 0.000 0.248 0.500
Cu: 0.000 0.752 0.500
Cu: 0.500 0.252 0.000
Cu: 0.500 0.500 0.379
Cu: 0.500 0.500 0.621
Cu: 0.500 0.748 0.000
Te: 0.000 0.500 0.170
Te: 0.000 0.500 0.830
Te: 0.500 0.000 0.330
Te: 0.500 0.000 0.670

(10)
## Sr3LiGe6 (PBE-GGA)

Data for a relaxed Sr3LiGe6 crystal.

Values from the calculation:
Total DFT energy (no corrections)   -3.86 eV per atom

Unit cell a=7.986 b=7.986 c=7.986 alpha=97.76 beta=97.76 gamma=97.76
Sites, in units of the cell vectors:
Sr: 0.189 0.750 0.311
Sr: 0.250 0.689 0.811
Sr: 0.311 0.189 0.750
Sr: 0.689 0.811 0.250
Sr: 0.750 0.311 0.189
Sr: 0.811 0.250 0.689
Li: 0.000 0.000 0.000
Li: 0.500 0.500 0.500
Ge: 0.032 0.092 0.376
Ge: 0.092 0.376 0.032
Ge: 0.124 0.408 0.468
Ge: 0.376 0.032 0.092
Ge: 0.408 0.468 0.124
Ge: 0.468 0.124 0.408
Ge: 0.532 0.876 0.592
Ge: 0.592 0.532 0.876
Ge: 0.624 0.968 0.908
Ge: 0.876 0.592 0.532
Ge: 0.908 0.624 0.968
Ge: 0.968 0.908 0.624

(11)
## InPt2Rh (PBE-GGA)

Data for a relaxed InPt2Rh crystal.

Values from the calculation:
Total DFT energy (no corrections)   -5.59 eV per atom

Unit cell a=2.929 b=2.929 c=26.611 alpha=90.00 beta=90.00 gamma=120.00
Sites, in units of the cell vectors:
In: 0.000 0.000 0.000
In: 0.333 0.667 0.667
In: 0.667 0.333 0.333
Pt: 0.000 0.000 0.503
Pt: 0.000 0.000 0.751
Pt: 0.333 0.667 0.170
Pt: 0.333 0.667 0.418
Pt: 0.667 0.333 0.084
Pt: 0.667 0.333 0.837
Rh: 0.000 0.000 0.252
Rh: 0.333 0.667 0.919
Rh: 0.667 0.333 0.585

(12)
## NaCr2Ru2 (PBE-GGA)

Data for a relaxed NaCr2Ru2 crystal.

Values from the calculation:
ΔE to the lowest computed polymorph   0 meV/atom

Unit cell a=7.441 b=7.441 c=2.660 alpha=90.00 beta=90.00 gamma=90.00
Sites, in units of the cell vectors:
Na: 0.000 0.000 0.000
Na: 0.500 0.500 0.000
Cr: 0.140 0.360 0.000
Cr: 0.360 0.860 0.000
Cr: 0.640 0.140 0.000
Cr: 0.860 0.640 0.000
Ru: 0.148 0.648 0.500
Ru: 0.352 0.148 0.500
Ru: 0.648 0.852 0.500
Ru: 0.852 0.352 0.500

So what do the calculations give for spin magnetization? Going down the list: 1.6, 0.0, 0.0, 0.2, 0.0, 0.2, 0.0, 0.0, 0.0, 0.0, 0.0, 0.0 Bohr magnetons per cell.